[1]
# Fe3CoP4O16

Fe3CoP4O16 after structural relaxation (PBE+U, the Alexandria database).

Cell: 5.807 4.800 9.871 Å, 90.67 90.00 90.00°
Fractional positions:
Fe (0.000, 0.453, 0.772)
Fe (0.500, 0.547, 0.230)
Fe (0.500, 0.952, 0.723)
Co (0.000, 0.045, 0.274)
P (0.500, 0.102, 0.408)
P (0.500, 0.404, 0.906)
P (0.000, 0.597, 0.100)
P (0.000, 0.897, 0.586)
O (0.500, 0.172, 0.559)
O (0.291, 0.250, 0.334)
O (0.709, 0.250, 0.334)
O (0.000, 0.210, 0.613)
O (0.000, 0.280, 0.121)
O (0.293, 0.252, 0.832)
O (0.707, 0.252, 0.832)
O (0.500, 0.349, 0.058)
O (0.000, 0.651, 0.948)
O (0.796, 0.756, 0.174)
O (0.204, 0.756, 0.174)
O (0.500, 0.716, 0.879)
O (0.500, 0.788, 0.387)
O (0.794, 0.748, 0.662)
O (0.206, 0.748, 0.662)
O (0.000, 0.825, 0.434)

Output
Space group: Pm (6)
DFT total energy (eV per atom): -6.958



[2]
# FeCoP2O8

FeCoP2O8 after structural relaxation (PBE+U, the Alexandria database).

Cell: 8.383 8.383 8.383 Å, 62.11 62.11 62.11°
Fractional positions:
Fe (0.355, 0.355, 0.355)
Fe (0.144, 0.144, 0.144)
Fe (0.645, 0.645, 0.645)
Co (0.997, 0.997, 0.997)
Co (0.853, 0.853, 0.853)
Co (0.500, 0.500, 0.500)
P (0.454, 0.751, 0.048)
P (0.751, 0.048, 0.454)
P (0.048, 0.454, 0.751)
P (0.952, 0.547, 0.249)
P (0.249, 0.952, 0.547)
P (0.547, 0.249, 0.952)
O (0.674, 0.893, 0.500)
O (0.893, 0.500, 0.674)
O (0.500, 0.674, 0.893)
O (0.250, 0.904, 0.061)
O (0.609, 0.825, 0.007)
O (0.439, 0.597, 0.251)
O (0.904, 0.061, 0.250)
O (0.597, 0.251, 0.439)
O (0.994, 0.391, 0.177)
O (0.251, 0.439, 0.597)
O (0.936, 0.750, 0.095)
O (0.177, 0.994, 0.391)
O (0.825, 0.007, 0.609)
O (0.061, 0.250, 0.904)
O (0.749, 0.563, 0.404)
O (0.007, 0.609, 0.825)
O (0.404, 0.749, 0.563)
O (0.095, 0.936, 0.750)
O (0.563, 0.404, 0.749)
O (0.391, 0.177, 0.994)
O (0.750, 0.095, 0.936)
O (0.505, 0.322, 0.108)
O (0.108, 0.505, 0.322)
O (0.322, 0.108, 0.505)

Output
Space group: R3 (146)
DFT total energy (eV per atom): -6.866



[3]
# FeCo3P4O16

FeCo3P4O16 after structural relaxation (PBE+U, the Alexandria database).

Cell: 5.782 4.794 9.812 Å, 90.10 90.00 90.00°
Fractional positions:
Fe (0.000, 0.047, 0.731)
Co (0.500, 0.952, 0.267)
Co (0.500, 0.541, 0.774)
Co (0.000, 0.456, 0.226)
P (0.000, 0.903, 0.400)
P (0.000, 0.609, 0.915)
P (0.500, 0.398, 0.090)
P (0.500, 0.096, 0.595)
O (0.000, 0.844, 0.553)
O (0.206, 0.746, 0.324)
O (0.794, 0.746, 0.324)
O (0.500, 0.781, 0.626)
O (0.500, 0.710, 0.112)
O (0.207, 0.760, 0.841)
O (0.793, 0.760, 0.841)
O (0.000, 0.678, 0.068)
O (0.500, 0.333, 0.937)
O (0.708, 0.246, 0.164)
O (0.292, 0.246, 0.164)
O (0.000, 0.296, 0.889)
O (0.000, 0.221, 0.380)
O (0.708, 0.247, 0.668)
O (0.292, 0.247, 0.668)
O (0.500, 0.139, 0.442)

Output
Space group: Pm (6)
DFT total energy (eV per atom): -6.756



[4]
# Fe2CoPO

Fe2CoPO after structural relaxation (PBE+U, the Alexandria database).

Cell: 4.649 3.916 4.649 Å, 90.00 90.00 90.00°
Fractional positions:
P (0.000, 0.500, 0.000)
Co (0.000, 0.000, 0.000)
Fe (0.000, 0.000, 0.500)
Fe (0.500, 0.000, 0.000)
O (0.500, 0.500, 0.500)

Output
Space group: P4/mmm (123)
DFT total energy (eV per atom): -4.563



[5]
# Fe4Co3P6O24

Fe4Co3P6O24 after structural relaxation (PBE+U, the Alexandria database).

Cell: 6.412 7.987 9.420 Å, 104.53 108.46 101.47°
Fractional positions:
O (0.791, 0.049, 0.294)
O (0.209, 0.951, 0.706)
O (0.774, 0.803, 0.058)
O (0.226, 0.197, 0.942)
O (0.628, 0.228, 0.489)
O (0.372, 0.772, 0.511)
O (0.017, 0.191, 0.661)
O (0.983, 0.809, 0.339)
O (0.876, 0.463, 0.837)
O (0.124, 0.537, 0.163)
O (0.891, 0.213, 0.086)
O (0.109, 0.787, 0.914)
O (0.936, 0.451, 0.346)
O (0.268, 0.033, 0.236)
O (0.732, 0.967, 0.764)
O (0.309, 0.541, 0.916)
O (0.691, 0.459, 0.084)
O (0.248, 0.275, 0.463)
O (0.064, 0.549, 0.654)
O (0.446, 0.362, 0.285)
O (0.554, 0.638, 0.715)
O (0.455, 0.268, 0.774)
O (0.545, 0.732, 0.226)
O (0.752, 0.725, 0.537)
P (0.774, 0.851, 0.230)
P (0.226, 0.149, 0.770)
P (0.607, 0.776, 0.633)
P (0.393, 0.224, 0.367)
P (0.090, 0.594, 0.832)
P (0.910, 0.406, 0.168)
Fe (0.617, 0.548, 0.887)
Fe (0.047, 0.724, 0.528)
Fe (0.383, 0.452, 0.113)
Fe (0.953, 0.276, 0.472)
Co (0.293, 0.807, 0.292)
Co (0.707, 0.193, 0.708)
Co (0.000, 0.000, 0.000)

Output
Space group: P-1 (2)
DFT total energy (eV per atom): -7.008



[6]
# FeCoP2O8

FeCoP2O8 after structural relaxation (PBE+U, the Alexandria database).

Cell: 5.755 4.730 9.821 Å, 90.22 90.00 90.00°
Fractional positions:
Fe (0.750, 0.443, 0.780)
Fe (0.250, 0.557, 0.220)
Co (0.250, 0.935, 0.724)
Co (0.750, 0.065, 0.276)
P (0.250, 0.396, 0.910)
P (0.750, 0.902, 0.596)
P (0.250, 0.098, 0.404)
P (0.750, 0.604, 0.090)
O (0.750, 0.677, 0.938)
O (0.250, 0.715, 0.890)
O (0.041, 0.244, 0.834)
O (0.459, 0.244, 0.834)
O (0.958, 0.748, 0.671)
O (0.542, 0.748, 0.671)
O (0.750, 0.222, 0.618)
O (0.250, 0.163, 0.556)
O (0.750, 0.837, 0.444)
O (0.250, 0.778, 0.382)
O (0.042, 0.252, 0.329)
O (0.458, 0.252, 0.329)
O (0.541, 0.756, 0.166)
O (0.959, 0.756, 0.166)
O (0.750, 0.285, 0.110)
O (0.250, 0.323, 0.062)

Output
Space group: P2_1/m (11)
DFT total energy (eV per atom): -6.709



[7]
# Fe3CoSb2P6O24

Fe3CoSb2P6O24 after structural relaxation (PBE+U, the Alexandria database).

Cell: 8.877 8.877 8.877 Å, 58.57 58.57 58.57°
Fractional positions:
Fe (0.854, 0.854, 0.854)
Fe (0.651, 0.651, 0.651)
Fe (0.352, 0.352, 0.352)
Co (0.156, 0.156, 0.156)
Sb (0.015, 0.015, 0.015)
Sb (0.507, 0.507, 0.507)
P (0.250, 0.540, 0.957)
P (0.957, 0.250, 0.540)
P (0.540, 0.957, 0.250)
P (0.460, 0.040, 0.749)
P (0.040, 0.749, 0.460)
P (0.749, 0.460, 0.040)
O (0.704, 0.487, 0.881)
O (0.487, 0.881, 0.704)
O (0.085, 0.727, 0.934)
O (0.881, 0.704, 0.487)
O (0.205, 0.379, 0.984)
O (0.421, 0.558, 0.763)
O (0.934, 0.085, 0.727)
O (0.763, 0.421, 0.558)
O (0.614, 0.005, 0.803)
O (0.558, 0.763, 0.421)
O (0.266, 0.060, 0.922)
O (0.005, 0.803, 0.614)
O (0.984, 0.205, 0.379)
O (0.727, 0.934, 0.085)
O (0.432, 0.231, 0.586)
O (0.379, 0.984, 0.205)
O (0.231, 0.586, 0.432)
O (0.060, 0.922, 0.266)
O (0.586, 0.432, 0.231)
O (0.803, 0.614, 0.005)
O (0.111, 0.308, 0.501)
O (0.922, 0.266, 0.060)
O (0.501, 0.111, 0.308)
O (0.308, 0.501, 0.111)

Output
Space group: R3 (146)
DFT total energy (eV per atom): -6.907



[8]
# Fe3Co2SnP6O24

Fe3Co2SnP6O24 after structural relaxation (PBE+U, the Alexandria database).

Cell: 8.501 8.501 8.501 Å, 61.36 61.36 61.36°
Fractional positions:
Fe (0.645, 0.645, 0.645)
Fe (0.854, 0.854, 0.854)
Fe (0.356, 0.356, 0.356)
Co (0.995, 0.995, 0.995)
Co (0.501, 0.501, 0.501)
Sn (0.143, 0.143, 0.143)
P (0.951, 0.253, 0.550)
P (0.550, 0.951, 0.253)
P (0.253, 0.550, 0.951)
P (0.746, 0.458, 0.047)
P (0.458, 0.047, 0.746)
P (0.047, 0.746, 0.458)
O (0.500, 0.110, 0.320)
O (0.320, 0.500, 0.110)
O (0.110, 0.320, 0.500)
O (0.939, 0.093, 0.747)
O (0.985, 0.181, 0.397)
O (0.751, 0.407, 0.565)
O (0.747, 0.939, 0.093)
O (0.565, 0.751, 0.407)
O (0.822, 0.608, 0.005)
O (0.407, 0.565, 0.751)
O (0.905, 0.254, 0.059)
O (0.608, 0.005, 0.822)
O (0.397, 0.985, 0.181)
O (0.093, 0.747, 0.939)
O (0.594, 0.439, 0.249)
O (0.181, 0.397, 0.985)
O (0.439, 0.249, 0.594)
O (0.254, 0.059, 0.905)
O (0.249, 0.594, 0.439)
O (0.005, 0.822, 0.608)
O (0.059, 0.905, 0.254)
O (0.893, 0.676, 0.499)
O (0.676, 0.499, 0.893)
O (0.499, 0.893, 0.676)

Output
Space group: R3 (146)
DFT total energy (eV per atom): -6.918



[9]
# Ti3Fe2CoP6O24

Ti3Fe2CoP6O24 after structural relaxation (PBE+U, the Alexandria database).

Cell: 8.541 8.541 8.541 Å, 61.05 61.05 61.05°
Fractional positions:
Ti (0.645, 0.645, 0.645)
Ti (0.858, 0.858, 0.858)
Ti (0.354, 0.354, 0.354)
Fe (0.003, 0.003, 0.003)
Fe (0.502, 0.502, 0.502)
Co (0.143, 0.143, 0.143)
P (0.543, 0.954, 0.247)
P (0.247, 0.543, 0.954)
P (0.954, 0.247, 0.543)
P (0.045, 0.747, 0.459)
P (0.747, 0.459, 0.045)
P (0.459, 0.045, 0.747)
O (0.312, 0.494, 0.120)
O (0.120, 0.312, 0.494)
O (0.494, 0.120, 0.312)
O (0.740, 0.946, 0.088)
O (0.391, 0.980, 0.188)
O (0.573, 0.758, 0.409)
O (0.088, 0.740, 0.946)
O (0.409, 0.573, 0.758)
O (0.999, 0.813, 0.622)
O (0.758, 0.409, 0.573)
O (0.047, 0.902, 0.268)
O (0.813, 0.622, 0.999)
O (0.188, 0.391, 0.980)
O (0.946, 0.088, 0.740)
O (0.240, 0.586, 0.447)
O (0.980, 0.188, 0.391)
O (0.586, 0.447, 0.240)
O (0.902, 0.268, 0.047)
O (0.447, 0.240, 0.586)
O (0.622, 0.999, 0.813)
O (0.268, 0.047, 0.902)
O (0.521, 0.889, 0.666)
O (0.889, 0.666, 0.521)
O (0.666, 0.521, 0.889)

Output
Space group: R3 (146)
DFT total energy (eV per atom): -7.627



[10]
# VFe3Co2P6O24

VFe3Co2P6O24 after structural relaxation (PBE+U, the Alexandria database).

Cell: 8.412 8.412 8.412 Å, 61.50 61.50 61.50°
Fractional positions:
V (0.858, 0.858, 0.858)
Fe (0.356, 0.356, 0.356)
Fe (0.142, 0.142, 0.142)
Fe (0.644, 0.644, 0.644)
Co (0.001, 0.001, 0.001)
Co (0.501, 0.501, 0.501)
P (0.455, 0.751, 0.047)
P (0.751, 0.047, 0.455)
P (0.047, 0.455, 0.751)
P (0.955, 0.540, 0.250)
P (0.250, 0.955, 0.540)
P (0.540, 0.250, 0.955)
O (0.681, 0.892, 0.495)
O (0.892, 0.495, 0.681)
O (0.495, 0.681, 0.892)
O (0.254, 0.910, 0.063)
O (0.615, 0.824, 0.000)
O (0.446, 0.594, 0.247)
O (0.910, 0.063, 0.254)
O (0.594, 0.247, 0.446)
O (0.995, 0.385, 0.180)
O (0.247, 0.446, 0.594)
O (0.937, 0.744, 0.090)
O (0.180, 0.995, 0.385)
O (0.824, 0.000, 0.615)
O (0.063, 0.254, 0.910)
O (0.753, 0.559, 0.406)
O (0.000, 0.615, 0.824)
O (0.406, 0.753, 0.559)
O (0.090, 0.937, 0.744)
O (0.559, 0.406, 0.753)
O (0.385, 0.180, 0.995)
O (0.744, 0.090, 0.937)
O (0.506, 0.317, 0.110)
O (0.110, 0.506, 0.317)
O (0.317, 0.110, 0.506)

Output
Space group: R3 (146)
DFT total energy (eV per atom): -6.988



[11]
# V3Fe2CoP6O24

V3Fe2CoP6O24 after structural relaxation (PBE+U, the Alexandria database).

Cell: 8.498 8.498 8.498 Å, 61.21 61.21 61.21°
Fractional positions:
V (0.356, 0.356, 0.356)
V (0.142, 0.142, 0.142)
V (0.644, 0.644, 0.644)
Fe (0.997, 0.997, 0.997)
Fe (0.499, 0.499, 0.499)
Co (0.857, 0.857, 0.857)
P (0.753, 0.044, 0.457)
P (0.044, 0.457, 0.753)
P (0.457, 0.753, 0.044)
P (0.540, 0.254, 0.958)
P (0.958, 0.540, 0.254)
P (0.254, 0.958, 0.540)
O (0.879, 0.498, 0.691)
O (0.498, 0.691, 0.879)
O (0.691, 0.879, 0.498)
O (0.914, 0.056, 0.259)
O (0.809, 0.020, 0.611)
O (0.589, 0.241, 0.427)
O (0.056, 0.259, 0.914)
O (0.241, 0.427, 0.589)
O (0.379, 0.189, 0.995)
O (0.427, 0.589, 0.241)
O (0.731, 0.097, 0.953)
O (0.995, 0.379, 0.189)
O (0.020, 0.611, 0.809)
O (0.259, 0.914, 0.056)
O (0.553, 0.416, 0.761)
O (0.611, 0.809, 0.020)
O (0.761, 0.553, 0.416)
O (0.953, 0.731, 0.097)
O (0.416, 0.761, 0.553)
O (0.189, 0.995, 0.379)
O (0.097, 0.953, 0.731)
O (0.335, 0.112, 0.485)
O (0.485, 0.335, 0.112)
O (0.112, 0.485, 0.335)

Output
Space group: R3 (146)
DFT total energy (eV per atom): -7.316